Entry 1:
MgScIn2 | GGA-PBEsol | optimized geometry

Unit cell a=5.0456 b=5.0456 c=5.0456 alpha=60.00 beta=60.00 gamma=60.00
Atoms (fractional coordinates):
Sc (0.2500, 0.2500, 0.2500)
Mg (0.5000, 0.5000, 0.5000)
In (0.0000, 0.0000, 0.0000)
In (0.7500, 0.7500, 0.7500)

Symmetry: F-43m

Entry 2:
ReOsS3 | GGA-PBEsol | optimized geometry

Unit cell a=4.5309 b=4.5309 c=4.5309 alpha=90.00 beta=90.00 gamma=90.00
Last column: magnetic moment on the atom in μB.
Atoms (fractional coordinates):
S (0.0000, 0.0000, 0.5000)  0.07
S (0.0000, 0.5000, 0.0000)  0.07
S (0.5000, 0.0000, 0.0000)  0.07
Os (0.5000, 0.5000, 0.5000)  2.67
Re (0.0000, 0.0000, 0.0000)  -0.21

Symmetry: Pm-3m
ΔE_f (raw): 1.402 eV per atom

| no. | DOS(E_F) (states/eV per cell) | electronic total energy (eV/f.u.) |
| --- | --- | --- |
| 1 | 3.68 | -14.570 |
| 2 | 6.96 | -31.689 |